# 1
8
Lattice="5.1694 0.0000 0.0000 0.0000 5.1694 0.0000 2.5847 2.5847 4.9347" Properties=species:S:1:pos:R:3 comment="GGA+U CoTcF2, optimized geometry" space_group="I-42d (122)" total_energy_ev_per_cell=-39.8 mass_density_g_cm3=4.91 crystal_system=tetragonal pbc="T T T"
F 1.6532 3.8771 1.2337
F 3.5162 1.2924 1.2337
F 6.4618 6.1009 3.7010
F 3.8771 4.2379 3.7010
Co 2.5847 2.5847 0.0000
Co 2.5847 5.1694 2.4674
Tc 5.1694 2.5847 2.4674
Tc 0.0000 0.0000 0.0000

---

# 2
4
Lattice="0.3841 -1.4067 7.9096 2.7421 -0.1853 7.5588 0.5222 1.2683 7.9251" Properties=species:S:1:pos:R:3 comment="GGA+U CoTcF2, optimized geometry" space_group="R-3m (166)" total_energy_ev_per_cell=-21.1 mass_density_g_cm3=6.60 crystal_system=trigonal pbc="T T T"
Co 0.0000 0.0000 0.0000
Tc 1.8242 -0.1618 11.6967
F 0.2819 -0.0250 1.8073
F 3.3666 -0.2986 21.5862

---

# 3
28
Lattice="8.2140 0.0000 4.2814 3.6743 6.6112 2.9709 1.0240 0.3077 8.0555" Properties=species:S:1:pos:R:3 comment="GGA+U CoTc2F11, optimized geometry" space_group="Ibam (72)" total_energy_ev_per_cell=-148.1 mass_density_g_cm3=3.80 crystal_system=orthorhombic pbc="T T T"
F 5.9693 1.4581 3.7705
F 9.7107 5.5350 7.2213
F 3.7851 3.9037 7.9609
F 6.9429 5.4609 11.5373
F 4.7518 2.0014 6.1064
F 9.1271 3.0153 7.3470
F 2.0022 1.4191 5.4045
F 5.1836 4.5357 5.8866
F 8.1605 4.9176 9.2014
F 7.7287 2.3832 9.4212
F 5.7497 0.5641 8.2349
F 7.1625 6.3549 7.0730
F 4.8432 2.3481 9.9741
F 0.0000 0.0000 0.0000
F 1.2781 0.4442 2.3654
F 11.6342 6.4748 12.9425
F 3.2016 1.3840 8.0866
F 8.0691 4.5708 5.3337
F 9.3097 3.2032 11.4252
F 6.4561 3.4595 7.6539
F 3.6026 3.7158 3.8827
F 10.9100 5.4999 9.9034
Tc 8.5492 1.4667 10.7890
Tc 4.3631 5.4522 4.5188
Tc 4.7927 2.3005 7.9758
Tc 8.1195 4.6185 7.3321
Co 3.2281 1.7297 3.8270
Co 9.6842 5.1892 11.4809

---

# 4
5
Lattice="4.4463 0.0000 0.0000 0.0000 4.4463 0.0000 0.0000 0.0000 4.4463" Properties=species:S:1:pos:R:3 comment="GGA+U CoTc3F, optimized geometry" space_group="Pm-3m (221)" total_energy_ev_per_cell=-29.6 mass_density_g_cm3=7.03 crystal_system=cubic pbc="T T T"
F 2.2232 2.2232 2.2232
Tc 2.2232 0.0000 0.0000
Tc 0.0000 2.2232 0.0000
Tc 0.0000 0.0000 2.2232
Co 0.0000 0.0000 0.0000